Density functional theory data (PBE) for an optimized crystal structure of Rb4NbSe5.

Output
As for the energy: -41.0 eV per cell. Its density of states at the Fermi level is 1.3 states/eV/cell. Its size of the total moment is 1.0 μB per formula unit. Its raw formation energy is -9.7 eV per formula unit.

abc: 6.9916 8.1799 8.1799
angles: 79.48 64.70 64.70
Last column: nearest neighbours and their distance in Å.
Positions (direct):
Rb (0.4098, 0.3914, 0.7933)  5 Se 3.31-3.63
Rb (0.8012, 0.7933, 0.6086)  5 Se 3.31-3.63
Rb (0.2031, 0.2067, 0.3914)  5 Se 3.31-3.63
Rb (0.5945, 0.6086, 0.2067)  5 Se 3.31-3.63
Nb (0.0877, 0.0000, 0.0000)  5 Se 2.41-2.56
Se (0.9229, 0.2982, 0.8470)  1 Nb 2.56
Se (0.2211, 0.8470, 0.7018)  1 Nb 2.56
Se (0.7699, 0.1530, 0.2982)  1 Nb 2.56
Se (0.0681, 0.7018, 0.1530)  1 Nb 2.56
Se (0.4319, 0.0000, 0.0000)  1 Nb 2.41